# 1
Entry from the Alexandria database: an optimized crystal structure of LiZr2Zn (GGA-PBEsol).

Computed properties:
raw total energy	-5.474	eV per atom
calculated formation energy	-0.04	eV per atom
total magnetic moment	0.0	μB/f.u.

Cell lengths 3.0430, 3.0430, 8.0104 Å; angles 90.00, 90.00, 90.00 degrees
Space group P4mm (No. 99)
One atom of each set of equivalent atoms:
Li 0.0000 0.0000 0.0000
Zr 0.0000 0.0000 0.4319
Zr 0.5000 0.5000 0.7121
Zn 0.5000 0.5000 0.1802

---

# 2
Entry from the Alexandria database: an optimized crystal structure of LiZrZn2 (GGA-PBEsol).

Computed properties:
raw total energy	-3.702	eV per atom
calculated formation energy	-0.15	eV per atom
total magnetic moment	0.0	μB/f.u.
distance to the lowest polymorph of the same formula	4.7	kJ per mole of atoms

Cell lengths 2.8660, 4.5725, 5.0453 Å; angles 90.00, 90.00, 90.00 degrees
Space group Pmm2 (No. 25)
One atom of each set of equivalent atoms:
Li 0.0000 0.0000 0.0000
Zr 0.0000 0.5000 0.3978
Zn 0.5000 0.0000 0.5507
Zn 0.5000 0.5000 0.8884

---

# 3
Entry from the Alexandria database: an optimized crystal structure of Li2Zr (GGA-PBEsol).

Computed properties:
raw total energy	-3.986	eV per atom
calculated formation energy	0.36	eV per atom
total magnetic moment	0.0	μB/f.u.

Cell lengths 2.7125, 16.5403, 5.0607 Å; angles 90.00, 90.00, 90.00 degrees
Space group Cmcm (No. 63)
One atom of each set of equivalent atoms:
Li 0.0000 0.0489 0.2500
Li 0.0000 0.2864 0.7500
Zr 0.0000 0.3864 0.2500